## A
Below is a relaxed Nd6ErTl3 crystal, with properties calculated at the PBE-GGA level.

The structure in POSCAR format:
```
Nd6ErTl3
1.0
7.841 0.000 0.000
0.000 9.600 -0.771
0.000 -2.894 9.186
Nd Tl Er
12 6 2
Direct
0.103 0.770 0.700 Nd
0.653 0.299 0.701 Nd
0.103 0.300 0.230 Nd
0.603 0.230 0.300 Nd
0.281 0.957 0.043 Nd
0.289 0.086 0.460 Nd
0.789 0.914 0.540 Nd
0.153 0.701 0.299 Nd
0.789 0.460 0.086 Nd
0.603 0.700 0.770 Nd
0.289 0.540 0.914 Nd
0.781 0.043 0.957 Nd
0.931 0.717 0.989 Tl
0.931 0.011 0.283 Tl
0.323 0.450 0.550 Tl
0.431 0.989 0.717 Tl
0.431 0.283 0.011 Tl
0.823 0.550 0.450 Tl
0.584 0.811 0.189 Er
0.084 0.189 0.811 Er
```

Values from the calculation:
- total magnetic moment (Bohr magnetons per cell) = 0.00



## B
Below is a relaxed Nd6ErTl3 crystal, with properties calculated at the PBE-GGA level.

The structure in POSCAR format:
```
Nd6ErTl3
1.0
-0.372 -1.614 -4.961
-1.375 -9.966 3.346
-11.111 2.874 -0.101
Nd Tl Er
12 6 2
Direct
0.750 0.858 0.778 Nd
0.250 0.454 0.096 Nd
0.750 0.935 0.091 Nd
0.250 0.270 0.516 Nd
0.250 0.826 0.282 Nd
0.750 0.730 0.484 Nd
0.750 0.546 0.904 Nd
0.250 0.142 0.222 Nd
0.250 0.065 0.909 Nd
0.750 0.174 0.718 Nd
0.750 0.364 0.310 Nd
0.250 0.636 0.690 Nd
0.250 0.356 0.810 Tl
0.750 0.452 0.610 Tl
0.750 0.644 0.190 Tl
0.250 0.754 0.973 Tl
0.750 0.246 0.027 Tl
0.250 0.548 0.390 Tl
0.250 0.952 0.592 Er
0.750 0.048 0.408 Er
```

Values from the calculation:
- total magnetic moment (Bohr magnetons per cell) = 0.00



Relative energies with respect to the most stable structure, expressed in meV/atom: A 96; B 0.



## A
Below is a relaxed Nd3Er2Tl2 crystal, with properties calculated at the PBE-GGA level.

The structure in POSCAR format:
```
Nd3Er2Tl2
1.0
5.525 0.000 0.000
-2.763 4.767 -0.296
0.000 -2.687 8.297
Tl Er Nd
2 2 3
Direct
0.787 0.575 0.862 Tl
0.213 0.425 0.138 Tl
0.927 0.854 0.281 Er
0.073 0.146 0.719 Er
0.500 0.000 0.000 Nd
0.343 0.685 0.528 Nd
0.657 0.315 0.472 Nd
```

Values from the calculation:
- total magnetic moment (Bohr magnetons per cell) = 0.00



## B
Below is a relaxed Nd3Er2Tl2 crystal, with properties calculated at the PBE-GGA level.

The structure in POSCAR format:
```
Nd3Er2Tl2
1.0
5.007 0.000 0.664
0.000 3.572 0.000
0.937 0.000 12.132
Nd Tl Er
3 2 2
Direct
0.854 0.000 0.292 Nd
0.146 0.000 0.708 Nd
0.000 0.000 0.000 Nd
0.573 0.500 0.854 Tl
0.427 0.500 0.146 Tl
0.287 0.500 0.426 Er
0.713 0.500 0.574 Er
```

Values from the calculation:
- total magnetic moment (Bohr magnetons per cell) = 0.08



Relative energies with respect to the most stable structure, expressed in meV/atom: A 0; B 84.



## A
Below is a relaxed Nd3Er2Tl4 crystal, with properties calculated at the PBE-GGA level.

The structure in POSCAR format:
```
Nd3Er2Tl4
1.0
5.383 0.000 0.000
2.691 4.627 0.588
0.000 -1.316 10.417
Tl Nd Er
4 3 2
Direct
0.000 0.000 0.342 Tl
0.333 0.334 0.102 Tl
0.000 0.000 0.658 Tl
0.667 0.666 0.898 Tl
0.000 0.000 0.000 Nd
0.333 0.333 0.420 Nd
0.667 0.667 0.580 Nd
0.667 0.667 0.221 Er
0.333 0.333 0.779 Er
```

Values from the calculation:
- total magnetic moment (Bohr magnetons per cell) = 0.00



## B
Below is a relaxed Nd3Er2Tl4 crystal, with properties calculated at the PBE-GGA level.

The structure in POSCAR format:
```
Nd3Er2Tl4
1.0
6.145 -0.049 -0.035
0.275 9.655 -0.180
0.275 2.940 9.198
Nd Er Tl
6 4 8
Direct
0.412 0.773 0.989 Nd
0.588 0.227 0.011 Nd
0.088 0.011 0.227 Nd
0.912 0.989 0.773 Nd
0.250 0.604 0.396 Nd
0.750 0.396 0.604 Nd
0.868 0.605 0.841 Er
0.632 0.159 0.395 Er
0.368 0.841 0.605 Er
0.132 0.395 0.159 Er
0.430 0.109 0.737 Tl
0.630 0.474 0.209 Tl
0.370 0.526 0.791 Tl
0.070 0.263 0.891 Tl
0.130 0.209 0.474 Tl
0.930 0.737 0.109 Tl
0.570 0.891 0.263 Tl
0.870 0.791 0.526 Tl
```

Values from the calculation:
- total magnetic moment (Bohr magnetons per cell) = 0.44



Relative energies with respect to the most stable structure, expressed in meV/atom: A 0; B 63.



## A
Below is a relaxed NdEr3Tl2 crystal, with properties calculated at the PBE-GGA level.

The structure in POSCAR format:
```
NdEr3Tl2
1.0
5.112 0.000 0.000
0.000 6.818 0.000
0.000 0.000 9.994
Tl Er Nd
4 6 2
Direct
0.000 0.787 0.361 Tl
0.500 0.709 0.868 Tl
0.000 0.287 0.639 Tl
0.500 0.209 0.132 Tl
0.000 0.456 0.956 Er
0.500 0.669 0.182 Er
0.000 0.329 0.306 Er
0.500 0.169 0.818 Er
0.000 0.829 0.694 Er
0.000 0.956 0.044 Er
0.500 0.550 0.543 Nd
0.500 0.050 0.457 Nd
```

Values from the calculation:
- total magnetic moment (Bohr magnetons per cell) = 0.00



## B
Below is a relaxed NdEr3Tl2 crystal, with properties calculated at the PBE-GGA level.

The structure in POSCAR format:
```
NdEr3Tl2
1.0
-1.285 3.527 -3.861
-6.540 0.660 6.536
8.448 3.758 0.622
Nd Er Tl
2 6 4
Direct
0.868 0.736 0.908 Nd
0.132 0.264 0.092 Nd
0.940 0.880 0.594 Er
0.693 0.387 0.397 Er
0.615 0.230 0.690 Er
0.060 0.120 0.406 Er
0.385 0.770 0.310 Er
0.307 0.613 0.603 Er
0.778 0.556 0.152 Tl
0.222 0.444 0.848 Tl
0.518 0.036 0.864 Tl
0.482 0.964 0.136 Tl
```

Values from the calculation:
- total magnetic moment (Bohr magnetons per cell) = 0.80



Relative energies with respect to the most stable structure, expressed in meV/atom: A 0; B 92.